Entry 1:
The following is a DFT calculation (PBE) of crystalline MgNi3Au at its relaxed geometry.

Lattice parameters (Å, degrees): 4.6817 4.6817 4.6817 90.00 90.00 90.00
Site moments in Bohr magnetons follow the coordinates.
Fractional positions:
Ni1 0.0000 0.5000 0.0000  0.40
Ni2 0.0000 0.0000 0.5000  0.40
Ni3 0.5000 0.0000 0.0000  0.27
Mg1 0.5000 0.5000 0.5000  -0.01
Au1 0.0000 0.0000 0.0000  0.04

Output
- Fermi-level density of states (states/eV per cell) = 7.9
- E (eV/atom) = -3.46
- mass density (kg/m³) = 6430
- SG = Pm-3m

Entry 2:
The following is a DFT calculation (PBE) of crystalline LaBeAs at its relaxed geometry.

Lattice parameters (Å, degrees): 4.9445 4.9445 8.0232 72.05 72.05 60.00
Fractional positions:
La1 0.4113 0.4113 0.7662
La2 0.5887 0.5887 0.2338
As1 0.2793 0.2793 0.1620
As2 0.7207 0.7207 0.8380
Be1 0.1813 0.1813 0.4562
Be2 0.8187 0.8187 0.5438

Output
- Fermi-level density of states (states/eV per cell) = 5.7
- E (eV/atom) = -4.79
- mass density (kg/m³) = 4662
- SG = R-3m

Entry 3:
The following is a DFT calculation (PBE) of crystalline Li3ScZn at its relaxed geometry.

Lattice parameters (Å, degrees): 5.3725 5.3725 5.3725 90.00 90.00 90.00
Site moments in Bohr magnetons follow the coordinates.
Fractional positions:
Sc1 0.0000 0.0000 0.0000  0.98
Zn1 0.5000 0.5000 0.5000  -0.01
Li1 0.0000 0.5000 0.0000  0.02
Li2 0.0000 0.0000 0.5000  0.02
Li3 0.5000 0.0000 0.0000  0.03

Output
- Fermi-level density of states (states/eV per cell) = 10.5
- E (eV/atom) = -1.63
- mass density (kg/m³) = 1405
- SG = Pm-3m